Record 1
GdCuSnSe3, relaxed, DFT PBE; symmetry = Pnma, No. 62; total magnetization = 0.00 μB/f.u.; DFT total energy = -4.731 eV/atom
1.0
11.420 0.000 0.000
0.000 4.189 0.000
0.000 0.000 11.740
Cu Gd Se Sn
4 4 12 4
Direct
0.759 0.000 0.204
0.259 0.000 0.296
0.741 0.500 0.704
0.241 0.500 0.796
0.481 0.500 0.187
0.981 0.500 0.313
0.019 0.000 0.687
0.519 0.000 0.813
0.602 0.000 0.061
0.961 0.000 0.136
0.221 0.500 0.188
0.721 0.500 0.312
0.461 0.000 0.364
0.102 0.000 0.439
0.898 0.500 0.561
0.539 0.500 0.636
0.279 0.000 0.688
0.779 0.000 0.812
0.039 0.500 0.864
0.398 0.500 0.939
0.814 0.500 0.005
0.314 0.500 0.495
0.686 0.000 0.505
0.186 0.000 0.995

=====

Record 2
HfBeOsPb, relaxed, DFT PBE; symmetry = F-43m, No. 216; total magnetization = 0.00 μB/f.u.; DFT total energy = -6.869 eV/atom
1.0
0.000 3.249 3.249
3.249 0.000 3.249
3.249 3.249 0.000
Be Hf Os Pb
1 1 1 1
Direct
0.750 0.750 0.750
0.000 0.000 0.000
0.250 0.250 0.250
0.500 0.500 0.500

=====

Record 3
RbPtO3, relaxed, DFT PBE; symmetry = P4mm, No. 99; total magnetization = 0.00 μB/f.u.; DFT total energy = -4.431 eV/atom
1.0
3.975 0.000 0.000
0.000 3.975 0.000
0.000 0.000 5.159
O Pt Rb
3 1 1
Direct
0.500 0.500 0.879
0.500 0.000 0.907
0.000 0.500 0.907
0.000 0.000 0.834
0.500 0.500 0.374

=====

Record 4
DyC2, relaxed, DFT PBE; symmetry = Fd-3m, No. 227; total magnetization = 0.00 μB/f.u.; DFT total energy = -5.886 eV/atom
1.0
0.000 3.251 3.251
3.251 0.000 3.251
3.251 3.251 0.000
C Dy
4 2
Direct
0.625 0.625 0.125
0.625 0.125 0.625
0.125 0.625 0.625
0.625 0.625 0.625
0.000 0.000 0.000
0.250 0.250 0.250

=====

Record 5
NaScBAu, relaxed, DFT PBE; symmetry = F-43m, No. 216; total magnetization = 0.00 μB/f.u.; DFT total energy = -4.143 eV/atom
1.0
0.000 3.233 3.233
3.233 0.000 3.233
3.233 3.233 0.000
Au B Na Sc
1 1 1 1
Direct
0.750 0.750 0.750
0.250 0.250 0.250
0.500 0.500 0.500
0.000 0.000 0.000

=====

Record 6
NpHgOs, relaxed, DFT PBE; symmetry = F-43m, No. 216; total magnetization = 3.17 μB/f.u.; calculated formation energy = 1.6 eV per formula unit
1.0
4.544 -0.671 0.193
1.671 -3.976 1.592
2.010 -2.966 -2.880
Hg Np Os
1 1 1
Direct
0.250 0.250 0.250
0.750 0.750 0.750
0.000 0.000 0.000

=====

Record 7
Na2AlIr, relaxed, DFT PBE; symmetry = F-43m, No. 216; total magnetization = 0.00 μB/f.u.; DFT total energy = -3.699 eV/atom
1.0
0.000 3.238 3.238
3.238 0.000 3.238
3.238 3.238 0.000
Al Ir Na
1 1 2
Direct
0.000 0.000 0.000
0.250 0.250 0.250
0.500 0.500 0.500
0.750 0.750 0.750

=====

Record 8
PrRe2, relaxed, DFT PBE; symmetry = P6_3/mmc, No. 194; total magnetization = 0.00 μB/f.u.; calculated formation energy = 0.3 eV per formula unit
1.0
-3.770 -3.956 0.894
5.389 -1.273 -0.057
0.458 1.545 8.770
Pr Re
4 8
Direct
0.667 0.333 0.063
0.667 0.333 0.437
0.333 0.667 0.563
0.333 0.667 0.937
0.000 0.000 0.000
0.170 0.340 0.250
0.170 0.830 0.250
0.660 0.830 0.250
0.000 0.000 0.500
0.340 0.170 0.750
0.830 0.170 0.750
0.830 0.660 0.750

=====

Record 9
BaMoAs, relaxed, DFT PBE; symmetry = F-43m, No. 216; total magnetization = 4.79 μB/f.u.; DFT total energy = -5.237 eV/atom
1.0
0.000 3.625 3.625
3.625 0.000 3.625
3.625 3.625 0.000
As Ba Mo
1 1 1
Direct
0.000 0.000 0.000
0.250 0.250 0.250
0.750 0.750 0.750

=====

Record 10
Na4BiPAu2, relaxed, DFT PBE; symmetry = Amm2, No. 38; DFT total energy = -3.065 eV/atom
1.0
5.848 0.000 0.000
0.000 4.539 3.658
0.000 -4.539 3.658
Au Bi Na P
2 1 4 1
Direct
0.251 0.027 0.027
0.749 0.027 0.027
0.000 0.700 0.700
0.000 0.510 0.155
0.500 0.831 0.459
0.000 0.155 0.510
0.500 0.459 0.831
0.500 0.290 0.290

=====

Record 11
PmNdSb2, relaxed, DFT PBE; symmetry = P4/mmm, No. 123; total magnetization = 0.00 μB/f.u.; DFT total energy = -5.628 eV/atom
1.0
4.505 0.000 0.000
0.000 4.505 0.000
0.000 0.000 6.371
Nd Pm Sb
1 1 2
Direct
0.000 0.000 0.000
0.500 0.500 0.500
0.500 0.500 0.000
0.000 0.000 0.500

=====

Record 12
NaLaHfPd, relaxed, DFT PBE; symmetry = F-43m, No. 216; total magnetization = 0.75 μB/f.u.; DFT total energy = -5.182 eV/atom
1.0
0.000 3.605 3.605
3.605 0.000 3.605
3.605 3.605 0.000
Hf La Na Pd
1 1 1 1
Direct
0.000 0.000 0.000
0.500 0.500 0.500
0.750 0.750 0.750
0.250 0.250 0.250